! CrWS2, PBEsol geometry, DFT meta-GGA SCAN; values from VASP
&SYSTEM
  ibrav = 0, nat = 4, ntyp = 3
/
ATOMIC_SPECIES
Cr 52.00 Cr.upf
W 183.84 W.upf
S 32.06 S.upf
CELL_PARAMETERS angstrom
1.440 0.831 7.806
-1.440 0.831 7.806
0.000 -1.663 7.806
ATOMIC_POSITIONS angstrom
Cr 0.000 0.000 0.000
W 0.000 0.000 11.709
S 0.000 0.000 9.340
S 0.000 0.000 14.078
! * SG: No. 166
! * total magnetization: 0.0 μB per cell
! * ΔE_f (raw): -29 meV per atom
! * raw total energy: -26.86 eV/atom